# 1
# Nd2Er4Th (PBE, relaxed)
data_Nd2Er4Th
_cell_length_a 6.237
_cell_length_b 3.602
_cell_length_c 20.264
_cell_angle_alpha 90.00
_cell_angle_beta 95.92
_cell_angle_gamma 90.00
_symmetry_space_group_name_H-M 'C 1 m 1'
_symmetry_Int_Tables_number 8
_symmetry_space_group_name_Hall 'C -2y'
loop_
_atom_site_label
_atom_site_fract_x
_atom_site_fract_y
_atom_site_fract_z
Nd1 0.000 0.000 0.000
Nd2 0.095 0.000 0.288
Er1 0.285 0.000 0.855
Er2 0.309 0.500 0.433
Er3 0.382 0.000 0.145
Er4 0.404 0.500 0.717
Th1 0.190 0.000 0.575
# * energy relative to the lowest polymorph listed for this composition: 0 meV/atom
# * VASP energy: -35.01 eV per formula unit
# * energy relative to the elements: 0.03 eV/atom

# 2
# NdEr3Th4 (PBE, relaxed)
data_NdEr3Th4
_cell_length_a 18.895
_cell_length_b 3.471
_cell_length_c 8.889
_cell_angle_alpha 90.00
_cell_angle_beta 111.85
_cell_angle_gamma 90.00
_symmetry_space_group_name_H-M 'C 1 2/m 1'
_symmetry_Int_Tables_number 12
_symmetry_space_group_name_Hall '-C 2y'
loop_
_atom_site_label
_atom_site_fract_x
_atom_site_fract_y
_atom_site_fract_z
Nd1 0.000 0.000 0.000
Er1 0.000 0.500 0.500
Er2 0.195 0.500 0.155
Th1 0.122 0.000 0.806
Th2 0.162 0.000 0.469
# * VASP energy: -45.70 eV per formula unit
# * energy relative to the elements: 0.30 eV/atom

# 3
# Nd5Er6Th2 (PBE, relaxed)
data_Nd5Er6Th2
_cell_length_a 11.540
_cell_length_b 20.936
_cell_length_c 3.583
_cell_angle_alpha 90.00
_cell_angle_beta 90.00
_cell_angle_gamma 90.00
_symmetry_space_group_name_H-M 'P b a m'
_symmetry_Int_Tables_number 55
_symmetry_space_group_name_Hall '-P 2 2ab'
loop_
_atom_site_label
_atom_site_fract_x
_atom_site_fract_y
_atom_site_fract_z
Nd1 0.000 0.000 0.000
Nd2 0.065 0.294 0.000
Nd3 0.192 0.577 0.000
Er1 0.062 0.148 0.500
Er2 0.081 0.437 0.500
Er3 0.187 0.877 0.000
Th1 0.189 0.736 0.500
# * VASP energy: -64.65 eV per formula unit
# * energy relative to the elements: 0.11 eV/atom

# 4
# Nd12ErTh7 (PBE, relaxed)
data_Nd12ErTh7
_cell_length_a 11.643
_cell_length_b 11.643
_cell_length_c 11.643
_cell_angle_alpha 90.00
_cell_angle_beta 90.00
_cell_angle_gamma 90.00
_symmetry_space_group_name_H-M 'I m -3'
_symmetry_Int_Tables_number 204
_symmetry_space_group_name_Hall '-I 2 2 3'
loop_
_atom_site_label
_atom_site_fract_x
_atom_site_fract_y
_atom_site_fract_z
Nd1 0.000 0.225 0.304
Er1 0.000 0.000 0.000
Th1 0.000 0.000 0.500
Th2 0.250 0.250 0.250
# * VASP energy: -96.23 eV per formula unit
# * energy relative to the elements: 0.87 eV/atom

# 5
# Nd5Er2Th2 (PBE, relaxed)
data_Nd5Er2Th2
_cell_length_a 6.148
_cell_length_b 6.861
_cell_length_c 8.611
_cell_angle_alpha 78.40
_cell_angle_beta 69.29
_cell_angle_gamma 64.36
_symmetry_space_group_name_H-M 'P -1'
_symmetry_Int_Tables_number 2
_symmetry_space_group_name_Hall '-P 1'
loop_
_atom_site_label
_atom_site_fract_x
_atom_site_fract_y
_atom_site_fract_z
Nd1 0.000 0.000 0.000
Nd2 0.391 0.682 0.658
Nd3 0.494 0.869 0.240
Er1 0.194 0.428 0.122
Th1 0.039 0.234 0.549
# * VASP energy: -46.76 eV per formula unit
# * energy relative to the elements: 0.12 eV/atom

# 6
# Nd3Er6Th (PBE, relaxed)
data_Nd3Er6Th
_cell_length_a 9.437
_cell_length_b 15.252
_cell_length_c 9.071
_cell_angle_alpha 90.00
_cell_angle_beta 90.00
_cell_angle_gamma 90.00
_symmetry_space_group_name_H-M 'C m c 21'
_symmetry_Int_Tables_number 36
_symmetry_space_group_name_Hall 'C 2c -2'
loop_
_atom_site_label
_atom_site_fract_x
_atom_site_fract_y
_atom_site_fract_z
Nd1 0.000 0.047 0.000
Nd2 0.173 0.353 0.514
Er1 0.000 0.214 0.745
Er2 0.000 0.444 0.873
Er3 0.181 0.150 0.352
Er4 0.235 0.437 0.183
Th1 0.000 0.275 0.103
# * energy relative to the lowest polymorph listed for this composition: 0 meV/atom
# * VASP energy: -47.51 eV per formula unit
# * energy relative to the elements: 0.16 eV/atom

# 7
# Nd6Er3Th2 (PBE, relaxed)
data_Nd6Er3Th2
_cell_length_a 6.211
_cell_length_b 10.766
_cell_length_c 11.712
_cell_angle_alpha 90.00
_cell_angle_beta 100.31
_cell_angle_gamma 90.00
_symmetry_space_group_name_H-M 'C 1 2/m 1'
_symmetry_Int_Tables_number 12
_symmetry_space_group_name_Hall '-C 2y'
loop_
_atom_site_label
_atom_site_fract_x
_atom_site_fract_y
_atom_site_fract_z
Nd1 0.249 0.000 0.247
Nd2 0.249 0.334 0.247
Er1 0.000 0.000 0.500
Er2 0.000 0.334 0.500
Th1 0.000 0.167 0.000
# * VASP energy: -54.73 eV per formula unit
# * energy relative to the elements: 0.22 eV/atom

# 8
# NdErTh3 (PBE, relaxed)
data_NdErTh3
_cell_length_a 9.984
_cell_length_b 11.879
_cell_length_c 5.992
_cell_angle_alpha 90.00
_cell_angle_beta 90.00
_cell_angle_gamma 90.00
_symmetry_space_group_name_H-M 'I m m a'
_symmetry_Int_Tables_number 74
_symmetry_space_group_name_Hall '-I 2b 2'
loop_
_atom_site_label
_atom_site_fract_x
_atom_site_fract_y
_atom_site_fract_z
Nd1 0.250 0.250 0.250
Er1 0.000 0.250 0.695
Th1 0.000 0.000 0.000
Th2 0.168 0.000 0.500
# * VASP energy: -29.70 eV per formula unit
# * energy relative to the elements: 0.38 eV/atom

Question: Number 7 is which compound?
Answer: Nd6Er3Th2

Question: Which of these has the lowest VASP energy?
Answer: Nd12ErTh7